A plane-wave DFT calculation with PBE was carried out for KLiH2F4 after structural relaxation.

Summary:
As for the uncorrected energy: -4.44 eV/atom. As for the volume: 12.35 A^3/atom. The size of the total moment is 0.008 μB/atom. As for the density of states at the Fermi level: 0.00 states/eV/atom. The space-group type is I222, No. 23.

abc: 4.6415 5.1806 5.1806
angles: 72.49 63.39 63.39
Last column: nearest neighbours and their distance in Å.
Fractional positions:
F: 0.0306 0.7809 0.5695  1 H 1.15
K: 0.0000 0.0000 0.0000  8 F 2.72-2.87
F: 0.3809 0.2191 0.4305  1 H 1.15
H: 0.8258 0.6742 0.6742  2 F 1.15
H: 0.1742 0.3258 0.3258  2 F 1.15
Li: 0.5000 0.5000 0.5000  4 F 1.94
F: 0.9694 0.4305 0.2191  1 H 1.15
F: 0.6191 0.5695 0.7809  1 H 1.15